1.
The following is a PBE-GGA calculation of a relaxed ScAlCO crystal, from the Alexandria database.

```
ScAlCO
1.0
10.2662 -0.0010 -0.0006
9.7398 3.2451 -0.0006
9.7398 1.5794 2.8349
Al Sc C O
2 2 2 2
Cartesian
21.9705 3.5627 2.0930
7.7753 1.2608 0.7407
0.0000 0.0000 0.0000
14.8729 2.4117 1.4168
18.3965 2.9831 1.7525
11.3493 1.8404 1.0812
5.9505 0.9649 0.5669
23.7953 3.8586 2.2668
```

Summary:
Final energy (eV per atom): -7.76
Energy above the most stable polymorph in this dataset (eV per atom): 0.019
Space-group type: R-3m (166)
Formation energy from raw total energies (eV per atom): -1.692

=====

2.
The following is a PBE-GGA calculation of a relaxed Ti2Cl2F crystal, from the Alexandria database.

```
Ti2Cl2F
1.0
5.0201 0.0000 0.0000
0.0000 5.0201 0.0000
2.5101 2.5101 3.1532
Ti Cl F
2 2 1
Cartesian
5.0201 5.0201 2.1150
2.5101 2.5101 1.0382
5.0201 2.5101 1.5766
2.5101 5.0201 1.5766
0.0000 0.0000 0.0000
```

Summary:
Final energy (eV per atom): -5.45
Energy above the most stable polymorph in this dataset (eV per atom): 0.017
Space-group type: I4/mmm (139)
Formation energy from raw total energies (eV per atom): -1.175

=====

3.
The following is a PBE-GGA calculation of a relaxed BSb2S4 crystal, from the Alexandria database.

```
BSb2S4
1.0
-4.2776 0.5022 -5.0300
-3.9559 -3.6986 2.9949
-1.6747 6.1090 5.3322
B Sb S
2 4 8
Cartesian
-4.6373 -1.2387 1.9358
-5.2709 4.1513 1.3613
-2.9102 1.7351 1.4958
-6.5389 -2.0541 -1.5830
-3.3694 4.9667 4.8801
-6.9981 1.1775 1.8014
-4.6286 -0.3723 -3.3766
-6.4996 -1.6916 2.0026
-4.5903 0.0935 0.5571
-3.4087 4.6042 1.2945
-5.9884 3.5633 -0.3125
-3.9199 -0.6506 3.6097
-5.3180 2.8191 2.7400
-5.2797 3.2849 6.6737
```

Summary:
Final energy (eV per atom): -4.69
Space-group type: P2_1/m (11)
Formation energy from raw total energies (eV per atom): -0.204

=====

4.
The following is a PBE-GGA calculation of a relaxed Al8Ni crystal, from the Alexandria database.

```
Al8Ni
1.0
6.2429 0.0298 0.0000
-4.9996 3.7388 0.0000
-0.6217 -1.8843 5.9193
Al Ni
8 1
Cartesian
-1.8255 0.6023 1.9223
3.7958 -1.2523 3.9970
0.0000 0.0000 4.0285
-1.1739 2.4767 0.0000
0.6217 1.8843 1.8908
-3.7958 1.2523 3.9970
2.4172 1.2919 0.0000
1.8255 -0.6023 1.9223
0.0000 0.0000 0.0000
```

Summary:
DFT formation energy (eV per atom): -0.104
Final energy (eV per atom): -4.07
Space-group type: I4/mmm (139)

=====

5.
The following is a PBE-GGA calculation of a relaxed KMg2TlF8 crystal, from the Alexandria database.

```
KMg2TlF8
1.0
5.1455 0.0314 -0.0029
0.0836 5.1361 -0.0051
0.0059 0.0089 6.7197
Mg F Tl K
2 8 1 1
Cartesian
2.6159 2.5859 1.7305
2.6190 2.5905 4.9812
3.4598 3.4557 3.3537
1.2151 3.9751 5.2581
4.0199 1.2013 1.4536
4.0242 1.2073 5.2592
1.2107 3.9691 1.4524
1.7751 1.7207 3.3580
3.5959 3.5805 6.7137
1.6391 1.5959 -0.0020
0.0000 0.0000 0.0000
0.0029 0.0045 3.3598
```

Summary:
Final energy (eV per atom): -4.59
Space-group type: P2/m (10)
Formation energy from raw total energies (eV per atom): -2.784

=====

6.
The following is a PBE-GGA calculation of a relaxed BaLa2ReSn crystal, from the Alexandria database.

```
BaLa2ReSn
1.0
-0.0783 1.1155 5.7331
-4.9052 0.8569 -0.2337
-1.0378 -5.6451 1.0842
Sn Re La Ba
1 1 2 1
Cartesian
-3.0106 -1.8363 3.2918
-2.4526 0.4284 -0.1169
-0.0391 0.5578 2.8666
-0.5189 -2.8225 0.5421
0.0000 0.0000 0.0000
```

Summary:
DFT formation energy (eV per atom): 1.379
Final energy (eV per atom): -4.27
Space-group type: P4/mmm (123)

=====

7.
The following is a PBE-GGA calculation of a relaxed MgZnIO2 crystal, from the Alexandria database.

```
MgZnIO2
1.0
3.9202 0.0000 0.0000
0.0000 3.9202 0.0000
0.0000 0.0000 6.2605
Zn Mg O I
1 1 2 1
Cartesian
1.9601 1.9601 3.1302
0.0000 0.0000 0.0000
0.0000 1.9601 0.0000
1.9601 0.0000 0.0000
0.0000 0.0000 3.1302
```

Summary:
Final energy (eV per atom): -3.34
Energy above the most stable polymorph in this dataset (eV per atom): 0.000
Space-group type: P4/mmm (123)
Formation energy from raw total energies (eV per atom): -0.471

=====

8.
The following is a PBE-GGA calculation of a relaxed Sc2BMo crystal, from the Alexandria database.

```
Sc2BMo
1.0
8.5058 0.0000 0.0000
0.0000 8.5058 0.0000
4.2529 4.2529 2.1216
Mo B Sc
2 2 4
Cartesian
0.0000 0.0000 0.0000
8.5058 4.2529 1.0608
4.2529 8.5058 1.0608
4.2529 4.2529 0.0000
3.3121 6.3793 0.5304
10.6322 9.4465 1.5912
6.3793 7.5650 1.5912
5.1936 2.1264 0.5304
```

Summary:
DFT formation energy (eV per atom): 0.318
Final energy (eV per atom): -7.23
Space-group type: I-42d (122)

=====

9.
The following is a PBE-GGA calculation of a relaxed InBTe2 crystal, from the Alexandria database.

```
InBTe2
1.0
3.1367 0.0000 7.0672
-1.5684 2.7165 7.0672
-1.5684 -2.7165 7.0672
Te In B
2 1 1
Cartesian
0.0000 0.0000 19.1691
0.0000 0.0000 2.0326
0.0000 0.0000 10.6008
0.0000 0.0000 0.0000
```

Summary:
Final energy (eV per atom): -3.57
Energy above the most stable polymorph in this dataset (eV per atom): 0.140
Space-group type: R-3m (166)
Formation energy from raw total energies (eV per atom): 0.356

=====

10.
The following is a PBE-GGA calculation of a relaxed LiLa2InO5 crystal, from the Alexandria database.

```
LiLa2InO5
1.0
-1.4032 -2.0499 -2.6183
2.7034 -4.5744 4.6201
-8.8927 -0.2470 4.9591
O La Li In
10 4 2 2
Cartesian
-4.7864 -3.3590 5.1948
1.4067 -4.1943 2.5298
-3.9685 -6.0641 4.3867
-4.9059 -5.7154 7.1037
-7.6004 -3.3261 4.1896
-4.7366 -2.5585 2.0539
-1.9442 -3.5993 3.8598
-3.1093 -1.1676 0.0929
-1.3238 -3.4711 0.9394
-0.3221 -0.7155 0.7328
-5.6233 -1.4927 4.1822
-0.8229 -5.3467 2.1394
-6.3051 -5.1952 4.9587
-1.9977 -1.6958 2.3982
0.8596 -2.4925 1.4907
-4.0681 -4.2570 3.0254
-9.1470 -1.7720 3.8017
-2.3601 -5.2080 5.3421
```

Summary:
Final energy (eV per atom): -6.96
Space-group type: Cmc2_1 (36)
Formation energy from raw total energies (eV per atom): -2.594

=====

11.
The following is a PBE-GGA calculation of a relaxed MnTe2IrN crystal, from the Alexandria database.

```
MnTe2IrN
1.0
4.7779 0.0000 0.0000
0.0000 3.8043 0.0000
0.0000 0.0000 4.7779
Te N Mn Ir
2 1 1 1
Cartesian
2.3890 0.0000 0.0000
0.0000 0.0000 2.3890
0.0000 0.0000 0.0000
0.0000 1.9021 0.0000
2.3890 1.9021 2.3890
```

Summary:
Final energy (eV per atom): -5.87
Energy above the most stable polymorph in this dataset (eV per atom): 0.212
Space-group type: P4/mmm (123)
Formation energy from raw total energies (eV per atom): 0.659